## Sr3Mn2TcO8 (GGA+U)

Data for a relaxed structure of Sr3Mn2TcO8.

Summary:
**DFT total energy**: -97.85 eV/cell

Cell: 5.6471 5.6471 7.4580 Å, 90.00 90.00 120.00°
Closest atoms and distances in Å follow each position.
Fractional positions:
Sr: 0.0000 0.0000 0.0000  12 O 3.01-3.30
Sr: 0.3333 0.6667 0.6311  1 O 2.27
Sr: 0.6667 0.3333 0.3689  1 O 2.27
Mn: 0.3333 0.6667 0.1891  4 O 1.89-2.06
Mn: 0.6667 0.3333 0.8109  4 O 1.89-2.06
Tc: 0.0000 0.0000 0.5000  6 O 1.94
O: 0.1596 0.3192 0.3456  1 Tc 1.94, 1 Mn 2.06
O: 0.1596 0.8404 0.3456  1 Tc 1.94, 1 Mn 2.06
O: 0.3192 0.1596 0.6544  1 Tc 1.94, 1 Mn 2.06
O: 0.3333 0.6667 0.9356  1 Mn 1.89
O: 0.6667 0.3333 0.0644  1 Mn 1.89
O: 0.6808 0.8404 0.3456  1 Tc 1.94, 1 Mn 2.06
O: 0.8404 0.1596 0.6544  1 Tc 1.94, 1 Mn 2.06
O: 0.8404 0.6808 0.6544  1 Tc 1.94, 1 Mn 2.06